(1)
The following is a DFT calculation (PBE) of PrSm2Tl after structural relaxation.

* energy above the lowest structure with this stoichiometry: 2.4 kJ/mol of atoms
* total moment: 0.00 μB/atom
* energy of formation: -174 meV/atom
* DFT total energy: -17.28 eV for the cell shown

abc: 3.7031 3.7031 9.3450
angles: 90.00 90.00 90.00
With the nearest neighbours (Å) after each atom.
Space group P4/mmm (No. 123)
Unique sites:
1 Pr 0.0000 0.0000 0.0000 [1 per cell]  8 Sm 3.68, 4 Pr 3.70
2 Sm 0.5000 0.5000 0.2760 [2 per cell]  4 Tl 3.35, 4 Pr 3.68, 4 Sm 3.70
3 Tl 0.0000 0.0000 0.5000 [1 per cell]  8 Sm 3.35, 4 Tl 3.70


(2)
The following is a DFT calculation (PBE) of TbNdDy2As4 after structural relaxation.

* total moment: 0.00 μB/atom
* energy of formation: -1526 meV/atom
* DFT total energy: -49.41 eV for the cell shown

abc: 7.2079 4.1659 7.2101
angles: 90.00 109.47 90.00
With the nearest neighbours (Å) after each atom.
Space group P2/m (No. 10)
Unique sites:
1 Tb 0.0000 0.0000 0.0000 [1 per cell]  6 As 2.95
2 Nd 0.0000 0.5000 0.5000 [1 per cell]  6 As 2.98
3 Dy 0.5000 0.0000 0.5000 [1 per cell]  6 As 2.94
4 Dy 0.5000 0.5000 0.0000 [1 per cell]  6 As 2.91
5 As 0.2540 0.5000 0.2478 [2 per cell]  3 Dy 2.91-2.94, 2 Tb 2.95, 1 Nd 2.98
6 As 0.2566 0.0000 0.7559 [2 per cell]  3 Dy 2.91-2.94, 1 Tb 2.95, 2 Nd 2.98